No. 1
# TlCr2Br

An optimized crystal structure of TlCr2Br (PBE-GGA, Alexandria).

Calculated values
E above lowest polymorph = 0.366 eV/atom

Structure (POSCAR):
```
TlCr2Br
1.0
3.3028 -3.9670 0.0000
3.3028 3.9670 0.0000
0.0000 0.0000 3.3161
Tl Cr Br
1 2 1
Cartesian
0.0000 0.0000 0.0000 Tl
1.6514 1.9835 1.6580 Cr
1.6514 -1.9835 1.6580 Cr
3.3028 0.0000 0.0000 Br
```


No. 2
# Tl2CrBr

An optimized crystal structure of Tl2CrBr (PBE-GGA, Alexandria).

Calculated values
E above lowest polymorph = 0.266 eV/atom

Structure (POSCAR):
```
Tl2CrBr
1.0
0.0000 3.8767 3.8767
3.8767 0.0000 3.8767
3.8767 3.8767 0.0000
Tl Cr Br
2 1 1
Cartesian
1.9384 1.9384 1.9384 Tl
5.8151 5.8151 5.8151 Tl
0.0000 0.0000 0.0000 Cr
3.8767 3.8767 3.8767 Br
```


Taking the records one at a time from the top gives total magnetic moment values of 8.84; 5.01 Bohr magnetons per cell.
Taking the records one at a time from the top gives final energy values of -0.3805; -0.2699 Ry per atom.